! MgAlZn2 PBE relaxed; values from VASP
! formation energy from the elements	0.20	eV/atom
! SG	I-42d
&SYSTEM
  ibrav = 0, nat = 8, ntyp = 3
/
ATOMIC_SPECIES
Mg 24.30 Mg.upf
Al 26.98 Al.upf
Zn 65.41 Zn.upf
CELL_PARAMETERS angstrom
-3.719 3.719 2.810
3.719 -3.719 2.810
3.719 3.719 -2.810
ATOMIC_POSITIONS crystal
Mg 0.000 0.000 0.000
Mg 0.750 0.250 0.500
Al 0.250 0.750 0.500
Al 0.500 0.500 0.000
Zn 0.147 0.625 0.022
Zn 0.375 0.397 0.522
Zn 0.603 0.125 0.978
Zn 0.875 0.853 0.478